# Y3GaCl, optimized geometry, DFT PBE
data_Y3GaCl
_space_group_name_H-M_alt 'P m -3 m'
_space_group_IT_number 221
_space_group_name_Hall '-P 4 2 3'
_cell_length_a 5.1009
_cell_length_b 5.1009
_cell_length_c 5.1009
_cell_angle_alpha 90.00
_cell_angle_beta 90.00
_cell_angle_gamma 90.00
loop_
_atom_site_label
_atom_site_fract_x
_atom_site_fract_y
_atom_site_fract_z
Y1 0.0000 0.0000 0.5000
Ga1 0.5000 0.5000 0.5000
Cl1 0.0000 0.0000 0.0000
# **Density**: 4.7 g/cm3
# **Excess energy over the best structure of this formula in the dataset**: 0.000 eV per atom
# **Formation energy (no corrections)**: -0.43 eV/atom
# **Total DFT energy (no corrections)**: -5.2873 eV/atom

# YGaCl, optimized geometry, DFT PBE
data_YGaCl
_space_group_name_H-M_alt 'C 1 2/m 1'
_space_group_IT_number 12
_cell_length_a 7.0870
_cell_length_b 4.0910
_cell_length_c 11.0639
_cell_angle_alpha 90.00
_cell_angle_beta 102.81
_cell_angle_gamma 90.00
loop_
_space_group_symop_operation_xyz
'x,y,z'
'-x,-y,-z'
'-x,y,-z'
'x,-y,z'
'x+1/2,y+1/2,z'
'-x+1/2,-y+1/2,-z'
'-x+1/2,y+1/2,-z'
'x+1/2,-y+1/2,z'
loop_
_atom_site_label
_atom_site_fract_x
_atom_site_fract_y
_atom_site_fract_z
Y1 0.0666 0.0000 0.1924
Ga1 0.1554 0.5000 0.9675
Cl1 0.2163 0.0000 0.6620
# **Density**: 4.1 g/cm3
# **Formation energy (no corrections)**: -1.38 eV/atom
# **Total DFT energy (no corrections)**: -5.1546 eV/atom

# YGa2Cl5, optimized geometry, DFT PBE
data_YGa2Cl5
_space_group_name_H-M_alt 'C 1 2/c 1'
_space_group_IT_number 15
_cell_length_a 16.0660
_cell_length_b 7.3748
_cell_length_c 10.1157
_cell_angle_alpha 90.00
_cell_angle_beta 119.10
_cell_angle_gamma 90.00
loop_
_space_group_symop_operation_xyz
'x,y,z'
'-x,-y,-z'
'-x,y,-z+1/2'
'x,-y,z+1/2'
'x+1/2,y+1/2,z'
'-x+1/2,-y+1/2,-z'
'-x+1/2,y+1/2,-z+1/2'
'x+1/2,-y+1/2,z+1/2'
loop_
_atom_site_label
_atom_site_fract_x
_atom_site_fract_y
_atom_site_fract_z
Y1 0.0000 0.0000 0.0000
Ga1 0.1302 0.4715 0.2453
Cl1 0.0000 0.1376 0.7500
Cl2 0.0673 0.3140 0.4674
Cl3 0.1716 0.1383 0.1671
# **Density**: 2.6 g/cm3
# **Formation energy (no corrections)**: -1.49 eV/atom
# **Total DFT energy (no corrections)**: -4.2109 eV/atom

# YGaCl4, optimized geometry, DFT PBE
data_YGaCl4
_space_group_name_H-M_alt 'C 1 2/c 1'
_space_group_IT_number 15
_cell_length_a 16.2105
_cell_length_b 6.6803
_cell_length_c 7.3184
_cell_angle_alpha 90.00
_cell_angle_beta 104.09
_cell_angle_gamma 90.00
loop_
_space_group_symop_operation_xyz
'x,y,z'
'-x,-y,-z'
'-x,y,-z+1/2'
'x,-y,z+1/2'
'x+1/2,y+1/2,z'
'-x+1/2,-y+1/2,-z'
'-x+1/2,y+1/2,-z+1/2'
'x+1/2,-y+1/2,z+1/2'
loop_
_atom_site_label
_atom_site_fract_x
_atom_site_fract_y
_atom_site_fract_z
Y1 0.2500 0.2500 0.0000
Ga1 0.0000 0.1994 0.2500
Cl1 0.0970 0.1000 0.9603
Cl2 0.1952 0.4370 0.6682
# **Density**: 2.6 g/cm3
# **Formation energy (no corrections)**: -1.74 eV/atom
# **Total DFT energy (no corrections)**: -4.5552 eV/atom

# YGa2Cl, optimized geometry, DFT PBE
data_YGa2Cl
_space_group_name_H-M_alt 'F m -3 m'
_space_group_IT_number 225
_space_group_name_Hall '-F 4 2 3'
_cell_length_a 7.2240
_cell_length_b 7.2240
_cell_length_c 7.2240
_cell_angle_alpha 90.00
_cell_angle_beta 90.00
_cell_angle_gamma 90.00
loop_
_atom_site_label
_atom_site_fract_x
_atom_site_fract_y
_atom_site_fract_z
Y1 0.0000 0.0000 0.0000
Ga1 0.2500 0.2500 0.2500
Cl1 0.0000 0.0000 0.5000
# **Density**: 4.6 g/cm3
# **Excess energy over the best structure of this formula in the dataset**: 0.272 eV per atom
# **Formation energy (no corrections)**: -0.12 eV/atom
# **Total DFT energy (no corrections)**: -3.7087 eV/atom

# Y2GaCl2, optimized geometry, DFT PBE
data_Y2GaCl2
_space_group_name_H-M_alt 'P 4/m b m'
_space_group_IT_number 127
_space_group_name_Hall '-P 4 2ab'
_cell_length_a 8.3880
_cell_length_b 8.3880
_cell_length_c 3.2064
_cell_angle_alpha 90.00
_cell_angle_beta 90.00
_cell_angle_gamma 90.00
loop_
_atom_site_label
_atom_site_fract_x
_atom_site_fract_y
_atom_site_fract_z
Y1 0.1827 0.3173 0.0000
Ga1 0.0000 0.0000 0.5000
Cl1 0.1202 0.6202 0.5000
# **Density**: 4.7 g/cm3
# **Excess energy over the best structure of this formula in the dataset**: 0.089 eV per atom
# **Formation energy (no corrections)**: -0.89 eV/atom
# **Total DFT energy (no corrections)**: -4.8190 eV/atom

# Y2GaCl2, optimized geometry, DFT PBE
data_Y2GaCl2
_space_group_name_H-M_alt 'I 4/m m m'
_space_group_IT_number 139
_space_group_name_Hall '-I 4 2'
_cell_length_a 5.3304
_cell_length_b 5.3304
_cell_length_c 8.3733
_cell_angle_alpha 90.00
_cell_angle_beta 90.00
_cell_angle_gamma 90.00
loop_
_atom_site_label
_atom_site_fract_x
_atom_site_fract_y
_atom_site_fract_z
Y1 0.0000 0.5000 0.2500
Ga1 0.0000 0.0000 0.0000
Cl1 0.0000 0.0000 0.3234
# **Density**: 4.4 g/cm3
# **Excess energy over the best structure of this formula in the dataset**: 0.000 eV per atom
# **Formation energy (no corrections)**: -0.98 eV/atom
# **Total DFT energy (no corrections)**: -4.9081 eV/atom

# ZnGaCl4, optimized geometry, DFT PBE
data_ZnGaCl4
_space_group_name_H-M_alt 'C 1 2/m 1'
_space_group_IT_number 12
_cell_length_a 14.5250
_cell_length_b 3.6753
_cell_length_c 6.4714
_cell_angle_alpha 90.00
_cell_angle_beta 116.35
_cell_angle_gamma 90.00
loop_
_space_group_symop_operation_xyz
'x,y,z'
'-x,-y,-z'
'-x,y,-z'
'x,-y,z'
'x+1/2,y+1/2,z'
'-x+1/2,-y+1/2,-z'
'-x+1/2,y+1/2,-z'
'x+1/2,-y+1/2,z'
loop_
_atom_site_label
_atom_site_fract_x
_atom_site_fract_y
_atom_site_fract_z
Zn1 0.0000 0.0000 0.0000
Ga1 0.0000 0.5000 0.5000
Cl1 0.1067 0.5000 0.2598
Cl2 0.1098 0.0000 0.7958
# **Density**: 3.0 g/cm3
# **Formation energy (no corrections)**: -0.88 eV/atom
# **Total DFT energy (no corrections)**: -2.8273 eV/atom